DFT (GGA-PBE) results for a relaxed structure of WCSN2.

Summary:
Energy = -6.59 eV per atom
Spin magnetization = 0.0 Bohr magnetons per cell
E above lowest polymorph = 0.369 eV/atom
Formation energy without anion corrections = 46.174 kcal/mol of atoms

```
WCSN2
1.0
3.598 0.000 0.000
0.000 3.598 0.000
0.000 0.000 3.653
W C S N
1 1 1 2
Direct
0.000 0.000 0.000
0.500 0.500 0.500
0.500 0.500 0.000
0.000 0.500 0.500
0.500 0.000 0.500
```